A plane-wave DFT calculation with GGA-PBE was carried out for a relaxed Y2ScPb crystal.

Geometry as extended XYZ:
```
4
Lattice="7.622 0.015 0.046 -3.016 4.977 -0.003 1.591 0.964 2.966" Properties=species:S:1:pos:R:3 pbc="T T T"
Pb -0.712 2.971 1.482
Sc 2.303 2.496 0.021
Y 0.000 0.000 0.000
Y 4.607 0.489 1.506
```

**Space group**: Cmmm
**Total magnetic moment**: 0.00 μB/cell
**Formation enthalpy at 0 K**: -0.204 eV per atom
**VASP energy**: -5.95 eV/atom
**DOS(E_F)**: 1.42 states/eV/atom
**Volume**: 112.2 Å³ per cell

=====

A plane-wave DFT calculation with GGA-PBE was carried out for a relaxed Be2CdTe crystal.

Geometry as extended XYZ:
```
4
Lattice="6.537 0.012 0.000 4.538 4.705 0.000 -5.537 -2.359 2.550" Properties=species:S:1:pos:R:3 pbc="T T T"
Be 0.000 0.000 0.000
Be 2.269 2.352 1.275
Te 3.268 0.006 1.275
Cd 5.537 2.359 0.000
```

**Space group**: I-4m2
**Total magnetic moment**: 0.00 μB/cell
**Energy relative to the lowest polymorph listed for this composition**: 292 meV per atom
**VASP energy**: -2.28 eV/atom
**DOS(E_F)**: 0.30 states/eV/atom
**Volume**: 78.3 Å³ per cell

=====

A plane-wave DFT calculation with GGA-PBE was carried out for a relaxed Li2CePu3Se6 crystal.

Geometry as extended XYZ:
```
12
Lattice="-3.266 -0.722 -2.456 3.787 -6.657 -3.077 -2.863 -3.067 8.214" Properties=species:S:1:pos:R:3 pbc="T T T"
Li -2.102 -6.910 1.321
Li -0.240 -3.537 1.360
Ce -1.633 -0.361 -1.228
Pu 0.261 -3.690 -2.767
Pu -3.942 -3.791 2.851
Pu 1.601 -6.656 -0.170
Se 0.490 -8.417 1.824
Se -0.964 -5.351 -0.650
Se -2.832 -2.029 0.857
Se 0.950 -1.692 -0.766
Se -3.292 -8.755 3.447
Se -1.378 -5.095 3.331
```

**Space group**: C2/m
**Total magnetic moment**: 6.18 μB/cell
**VASP energy**: -7.63 eV/atom
**DOS(E_F)**: 3.02 states/eV/atom
**Volume**: 300.8 Å³ per cell

=====

A plane-wave DFT calculation with GGA-PBE was carried out for a relaxed NaSmSO crystal.

Geometry as extended XYZ:
```
4
Lattice="-0.622 0.189 3.738 -1.476 -2.978 1.830 5.070 -3.130 2.927" Properties=species:S:1:pos:R:3 pbc="T T T"
Na 1.499 -2.965 4.250
Sm -1.851 -2.884 5.614
S 2.297 -4.466 6.384
O 0.416 -1.355 2.063
```

**Space group**: R3m
**Total magnetic moment**: 0.00 μB/cell
**VASP energy**: -5.96 eV/atom
**DOS(E_F)**: 0.00 states/eV/atom
**Volume**: 78.1 Å³ per cell

=====

A plane-wave DFT calculation with GGA-PBE was carried out for a relaxed ErBeSi crystal.

Geometry as extended XYZ:
```
3
Lattice="-2.502 -0.272 -3.086 2.640 -1.996 -1.965 -2.543 -1.843 2.225" Properties=species:S:1:pos:R:3 pbc="T T T"
Be 0.496 -1.990 -1.082
Si -0.417 -0.045 -0.515
Er -2.484 -2.075 -1.230
```

**Space group**: P-6m2
**Total magnetic moment**: 0.00 μB/cell
**VASP energy**: -5.22 eV/atom
**DOS(E_F)**: 0.42 states/eV/atom
**Volume**: 51.1 Å³ per cell

=====

A plane-wave DFT calculation with GGA-PBE was carried out for a relaxed CeZn2TcH6 crystal.

Geometry as extended XYZ:
```
20
Lattice="4.540 0.000 -0.035 0.000 5.877 0.000 0.009 0.000 7.240" Properties=species:S:1:pos:R:3 pbc="T T T"
Ce 2.270 0.000 -0.018
Ce 0.005 2.938 3.620
Zn 0.074 5.695 2.066
Zn 2.349 3.120 5.669
Zn 4.476 0.182 5.139
Zn 2.201 2.756 1.536
Tc 2.275 0.000 3.603
Tc 0.000 2.938 0.000
H 1.503 3.790 0.146
H 3.778 5.025 3.748
H 3.047 2.087 7.060
H 0.772 0.852 3.457
H 2.058 4.168 2.929
H 4.333 4.647 6.532
H 2.492 1.709 4.276
H 0.217 1.229 0.673
H 3.824 3.745 1.392
H 1.559 5.070 5.030
H 0.726 2.131 5.813
H 2.991 0.807 2.175
```

**Space group**: P2_1/c
**Total magnetic moment**: 1.61 μB/cell
**VASP energy**: -3.95 eV/atom
**DOS(E_F)**: 0.57 states/eV/atom
**Volume**: 193.2 Å³ per cell